Material: Er3CdSe6
Method: DFT, PBE
State: optimized geometry

E_tot ... -4.9721 eV/atom
Total moment ... 0.0 μB per formula unit
Fermi-level density of states ... 5.45 states/eV/f.u.
V ... 261.47 Å³/f.u.
Formation energy from raw total energies ... -1421 meV per atom

CIF file:
```
data_Er3CdSe6
_symmetry_space_group_name_H-M 'C m c 21'
_symmetry_Int_Tables_number 36
_cell_length_a 11.164
_cell_length_b 13.353
_cell_length_c 7.015
_cell_angle_alpha 90.00
_cell_angle_beta 90.00
_cell_angle_gamma 90.00
loop_
_symmetry_equiv_pos_as_xyz
'x,y,z'
'-x,-y,z+1/2'
'-x,y,z'
'x,-y,z+1/2'
'x+1/2,y+1/2,z'
'-x+1/2,-y+1/2,z+1/2'
'-x+1/2,y+1/2,z'
'x+1/2,-y+1/2,z+1/2'
loop_
_atom_site_label
_atom_site_fract_x
_atom_site_fract_y
_atom_site_fract_z
Er1 0.000 0.097 0.000
Er2 0.180 0.402 0.095
Cd1 0.000 0.291 0.617
Se1 0.000 0.273 0.247
Se2 0.000 0.469 0.805
Se3 0.164 0.037 0.296
Se4 0.181 0.224 0.833
```